A relaxed Cd2Pb3 crystal, computed with PBE.

Cell: 11.761 17.023 5.747 Å, 90.00 90.00 90.00°
Space group Fdd2 (No. 43)
Inequivalent atoms, fractional coordinates:
Cd 0.004 0.295 0.000 x16
Pb 0.000 0.000 0.493 x8
Pb 0.007 0.395 0.495 x16

Properties
Crystal system ... orthorhombic
Offset from the most stable computed form ... 0.06 eV/f.u.
Energy relative to the elements ... 0.05 eV/atom

A relaxed LiYGa4Pt2 crystal, computed with PBE.

Cell: 4.2938 4.2938 25.5494 Å, 90.00 90.00 120.00°
Space group R-3m (No. 166, hexagonal axes)
Inequivalent atoms, fractional coordinates:
Li 0.0000 0.0000 0.0000 x3
Y 0.0000 0.0000 0.5000 x3
Ga 0.0000 0.0000 0.1026 x6
Ga 0.0000 0.0000 0.3697 x6
Pt 0.0000 0.0000 0.2639 x6

Properties
Crystal system ... trigonal
Energy relative to the elements ... -0.72 eV/atom

A relaxed Y7HoEr12 crystal, computed with PBE.

Cell: 12.7398 12.7398 13.5637 Å, 90.00 90.00 120.00°
Space group R-3 (No. 148, hexagonal axes)
Inequivalent atoms, fractional coordinates:
Y 0.0000 0.0000 0.0000 x3
Y 0.0678 0.8668 0.3502 x18
Ho 0.0000 0.0000 0.5000 x3
Er 0.0028 0.4369 0.7481 x18
Er 0.0682 0.2005 0.8468 x18

Properties
Crystal system ... trigonal
Offset from the most stable computed form ... 0.00 eV/f.u.
Energy relative to the elements ... 0.31 eV/atom

A relaxed Y2ErCd crystal, computed with PBE.

Cell: 3.531 3.468 19.548 Å, 90.00 90.00 90.00°
Space group Amm2 (No. 38)
Inequivalent atoms, fractional coordinates:
Y 0.000 0.000 0.000 x2
Y 0.500 0.000 0.369 x2
Er 0.000 0.000 0.214 x2
Cd 0.500 0.000 0.610 x2

Properties
Crystal system ... orthorhombic
Offset from the most stable computed form ... 0.53 eV/f.u.
Energy relative to the elements ... -0.02 eV/atom

A relaxed YSc2Tl crystal, computed with PBE.

Cell: 3.3982 3.3982 31.7002 Å, 90.00 90.00 120.00°
Space group R-3m (No. 166, hexagonal axes)
Inequivalent atoms, fractional coordinates:
Y 0.0000 0.0000 0.0000 x3
Sc 0.0000 0.0000 0.2460 x6
Tl 0.0000 0.0000 0.5000 x3

Properties
Crystal system ... trigonal
Offset from the most stable computed form ... 0.55 eV/f.u.
Energy relative to the elements ... -0.06 eV/atom

A relaxed As2PbSe2 crystal, computed with PBE.

Cell: 3.827 3.827 16.464 Å, 90.00 90.00 90.00°
Space group I4/mmm (No. 139)
Inequivalent atoms, fractional coordinates:
As 0.000 0.500 0.250 x4
Pb 0.000 0.000 0.000 x2
Se 0.000 0.000 0.396 x4

Properties
Crystal system ... tetragonal
Formation energy (no corrections) ... 0.0948 eV per atom
Offset from the most stable computed form ... 0.40 eV/f.u.

A relaxed YZrIrPt crystal, computed with PBE.

Cell: 6.801 6.801 6.801 Å, 90.00 90.00 90.00°
Space group F-43m (No. 216)
Inequivalent atoms, fractional coordinates:
Y 0.000 0.000 0.000 x4
Zr 0.000 0.000 0.500 x4
Ir 0.250 0.250 0.250 x4
Pt 0.250 0.250 0.750 x4

Properties
Crystal system ... cubic
Energy relative to the elements ... -0.87 eV/atom

A relaxed Zr2BeOs2 crystal, computed with PBE.

Cell: 7.678 7.678 3.135 Å, 90.00 90.00 90.00°
Space group P4/mbm (No. 127)
Inequivalent atoms, fractional coordinates:
Zr 0.149 0.351 0.000 x4
Be 0.000 0.000 0.000 x2
Os 0.151 0.651 0.500 x4

Properties
Crystal system ... tetragonal
Offset from the most stable computed form ... 2.47 eV/f.u.
Energy relative to the elements ... 0.36 eV/atom

A relaxed Hf4PbO crystal, computed with PBE.

Cell: 7.462 14.348 5.599 Å, 90.00 119.83 90.00°
Space group C2/c (No. 15)
Inequivalent atoms, fractional coordinates:
Hf 0.090 0.227 0.065 x8
Hf 0.240 0.412 0.375 x8
Pb 0.000 0.406 0.750 x4
O 0.000 0.117 0.250 x4

Properties
Crystal system ... monoclinic
Formation energy (no corrections) ... -0.5977 eV per atom

A relaxed PuCd4Pd15 crystal, computed with PBE.

Cell: 4.073 4.073 20.086 Å, 90.00 90.00 90.00°
Space group P4/mmm (No. 123)
Inequivalent atoms, fractional coordinates:
Pu 0.000 0.000 0.000 x1
Cd 0.000 0.000 0.204 x2
Cd 0.000 0.000 0.401 x2
Pd 0.000 0.500 0.103 x4
Pd 0.000 0.500 0.303 x4
Pd 0.000 0.500 0.500 x2
Pd 0.500 0.500 0.000 x1
Pd 0.500 0.500 0.203 x2
Pd 0.500 0.500 0.402 x2

Properties
Crystal system ... tetragonal
Energy relative to the elements ... -0.30 eV/atom

A relaxed BaSNF2 crystal, computed with PBE.

Cell: 5.010 5.010 6.166 Å, 90.00 90.00 90.00°
Space group P4/mmm (No. 123)
Inequivalent atoms, fractional coordinates:
Ba 0.000 0.000 0.000 x1
S 0.500 0.500 0.500 x1
N 0.000 0.000 0.500 x1
F 0.000 0.500 0.000 x2

Properties
Crystal system ... tetragonal
Formation energy (no corrections) ... -0.4472 eV per atom
Offset from the most stable computed form ... 4.06 eV/f.u.

A relaxed Nb2OsClF crystal, computed with PBE.

Cell: 4.412 4.412 4.324 Å, 90.00 90.00 90.00°
Space group P4/mmm (No. 123)
Inequivalent atoms, fractional coordinates:
Nb 0.000 0.500 0.000 x2
Os 0.000 0.000 0.500 x1
Cl 0.500 0.500 0.500 x1
F 0.000 0.000 0.000 x1

Properties
Crystal system ... tetragonal
Formation energy (no corrections) ... 0.9868 eV per atom

A relaxed CaIn2IrPb crystal, computed with PBE.

Cell: 5.185 5.185 5.385 Å, 90.00 90.00 90.00°
Space group P4/mmm (No. 123)
Inequivalent atoms, fractional coordinates:
Ca 0.000 0.000 0.000 x1
In 0.000 0.500 0.500 x2
Ir 0.500 0.500 0.500 x1
Pb 0.500 0.500 0.000 x1

Properties
Crystal system ... tetragonal
Energy relative to the elements ... -0.02 eV/atom

A relaxed Al3ZnTc crystal, computed with PBE.

Cell: 15.753 7.447 2.756 Å, 90.00 99.05 90.00°
Space group C2/m (No. 12)
Inequivalent atoms, fractional coordinates:
Al 0.074 0.000 0.327 x4
Al 0.166 0.306 0.434 x8
Zn 0.000 0.325 0.000 x4
Tc 0.220 0.000 0.970 x4

Properties
Crystal system ... monoclinic
Offset from the most stable computed form ... 0.53 eV/f.u.
Energy relative to the elements ... -0.14 eV/atom

A relaxed Pr2ErSb3Ir4 crystal, computed with PBE.

Cell: 4.367 4.367 11.654 Å, 90.00 90.00 90.00°
Space group P-4m2 (No. 115)
Inequivalent atoms, fractional coordinates:
Pr 0.000 0.500 0.232 x2
Er 0.000 0.000 0.500 x1
Sb 0.000 0.500 0.868 x2
Sb 0.500 0.500 0.500 x1
Ir 0.000 0.000 0.000 x1
Ir 0.000 0.500 0.646 x2
Ir 0.500 0.500 0.000 x1

Properties
Crystal system ... tetragonal
Formation energy (no corrections) ... -0.6929 eV per atom

A relaxed Fe2CoHg crystal, computed with PBE.

Cell: 3.756 3.756 3.905 Å, 90.00 90.00 90.00°
Space group P4/mmm (No. 123)
Inequivalent atoms, fractional coordinates:
Fe 0.000 0.500 0.000 x2
Co 0.000 0.000 0.500 x1
Hg 0.500 0.500 0.500 x1

Properties
Crystal system ... tetragonal
Energy relative to the elements ... 0.32 eV/atom

A relaxed PmZrZn4 crystal, computed with PBE.

Cell: 4.3886 4.3886 7.0786 Å, 90.00 90.00 120.00°
Space group P6/mmm (No. 191)
Inequivalent atoms, fractional coordinates:
Pm 0.0000 0.0000 0.0000 x1
Zr 0.0000 0.0000 0.5000 x1
Zn 0.3333 0.6667 0.2913 x4

Properties
Crystal system ... hexagonal
Offset from the most stable computed form ... 0.00 eV/f.u.
Energy relative to the elements ... -0.32 eV/atom

A relaxed Sn2IrCF crystal, computed with PBE.

Cell: 4.881 4.881 4.075 Å, 90.00 90.00 90.00°
Space group P4/mmm (No. 123)
Inequivalent atoms, fractional coordinates:
Sn 0.000 0.500 0.000 x2
Ir 0.000 0.000 0.500 x1
C 0.500 0.500 0.500 x1
F 0.000 0.000 0.000 x1

Properties
Crystal system ... tetragonal
Formation energy (no corrections) ... 1.3617 eV per atom

A relaxed Sm2PPd2Pt4 crystal, computed with PBE.

Cell: 6.191 6.191 8.652 Å, 90.00 90.00 90.00°
Space group I4/mmm (No. 139)
Inequivalent atoms, fractional coordinates:
Sm 0.000 0.500 0.250 x4
P 0.000 0.000 0.000 x2
Pd 0.000 0.000 0.271 x4
Pt 0.234 0.234 0.500 x8

Properties
Crystal system ... tetragonal
Energy relative to the elements ... -0.91 eV/atom

A relaxed KTmFe2I8 crystal, computed with PBE.

Cell: 12.203 8.413 10.368 Å, 90.00 93.23 90.00°
Space group C2/m (No. 12)
Inequivalent atoms, fractional coordinates:
K 0.000 0.000 0.000 x2
Tm 0.000 0.000 0.500 x2
Fe 0.130 0.500 0.282 x4
I 0.008 0.250 0.710 x8
I 0.210 0.500 0.061 x4
I 0.245 0.000 0.502 x4

Properties
Crystal system ... monoclinic
Formation energy (no corrections) ... -0.6969 eV per atom